No. 1
Here is a crystal of LiH2Pd2 relaxed with PBEsol from the Alexandria database. Energies are from SCAN.

## Properties
Its space group is No. 139. The value obtained for the density of states at the Fermi level is 0.186 states/eV/atom. As for the volume: 51.6 Å³/f.u. Its total DFT energy (no corrections) is -15.19 eV/atom.

Cell: 3.5894 3.5894 4.7415 Å, 112.24 112.24 90.00°
With the nearest neighbours (Å) after each atom.
Fractional positions:
Li: 0.0000 0.0000 0.0000  2 Pd 2.56, 8 H 2.69
H: 0.7500 0.2500 0.5000  4 Pd 1.88
Pd: 0.3195 0.3195 0.6391  4 H 1.88
Pd: 0.6805 0.6805 0.3609  4 H 1.88
H: 0.2500 0.7500 0.5000  4 Pd 1.88

No. 2
Here is a crystal of Mg2ReMo relaxed with PBEsol from the Alexandria database. Energies are from SCAN.

## Properties
Its space group is No. 12. The value obtained for the density of states at the Fermi level is 0.629 states/eV/atom. For the energy above the most stable polymorph in this dataset, the calculation gives 198.2 meV per atom. As for the volume: 64.7 Å³/f.u. For the calculated formation energy, the calculation gives 0.367 eV/atom. Its total DFT energy (no corrections) is -28.62 eV/atom.

Cell: 2.7856 4.8725 5.0277 Å, 98.87 106.08 90.00°
With the nearest neighbours (Å) after each atom.
Fractional positions:
Re: 0.0000 0.5000 0.0000  2 Re 2.79, 4 Mo 2.81, 6 Mg 2.86-2.89
Mg: 0.2526 0.2523 0.5053  6 Mg 2.79-2.82, 3 Mo 2.86-2.91, 3 Re 2.86-2.89
Mg: 0.7474 0.7477 0.4947  6 Mg 2.79-2.82, 3 Mo 2.86-2.91, 3 Re 2.86-2.89
Mo: 0.5000 0.0000 0.0000  2 Mo 2.79, 4 Re 2.81, 6 Mg 2.86-2.91

No. 3
Here is a crystal of KCaRe relaxed with PBEsol from the Alexandria database. Energies are from SCAN.

## Properties
Its space group is No. 187. The value obtained for the density of states at the Fermi level is 1.097 states/eV/atom. For the energy above the most stable polymorph in this dataset, the calculation gives 0.0 meV per atom. As for the volume: 66.9 Å³/f.u. For the calculated formation energy, the calculation gives 1.273 eV/atom. Its total DFT energy (no corrections) is -28.42 eV/atom.

Cell: 2.6735 5.3772 5.3772 Å, 120.00 90.00 90.00°
With the nearest neighbours (Å) after each atom.
Fractional positions:
Re: 0.3338 0.6667 0.3333  2 Re 2.67
Ca: 0.8328 0.0000 0.0000  2 Ca 2.67
K: 0.8334 0.3333 0.6667  2 K 2.67

No. 4
Here is a crystal of Tl2SnSb relaxed with PBEsol from the Alexandria database. Energies are from SCAN.

## Properties
Its space group is No. 225. The value obtained for the density of states at the Fermi level is 0.586 states/eV/atom. As for the volume: 109.5 Å³/f.u. As for the uncorrected formation energy: 0.18 eV/atom. Its total DFT energy (no corrections) is -54.29 eV/atom.

Cell: 5.3701 5.3701 5.3701 Å, 60.00 60.00 60.00°
With the nearest neighbours (Å) after each atom.
Fractional positions:
Sn: 0.0000 0.0000 0.0000  8 Tl 3.29
Tl: 0.7500 0.7500 0.7500  4 Sn 3.29, 4 Sb 3.29
Sb: 0.5000 0.5000 0.5000  8 Tl 3.29
Tl: 0.2500 0.2500 0.2500  4 Sb 3.29, 4 Sn 3.29

No. 5
Here is a crystal of TcSBrN2 relaxed with PBEsol from the Alexandria database. Energies are from SCAN.

## Properties
Its space group is No. 123. The value obtained for the density of states at the Fermi level is 0.557 states/eV/atom. As for the volume: 78.3 Å³/f.u. As for the uncorrected formation energy: 2.31 eV/atom. Its total DFT energy (no corrections) is -14.24 eV/atom.

Cell: 3.6460 3.6460 5.8917 Å, 90.00 90.00 90.00°
With the nearest neighbours (Å) after each atom.
Fractional positions:
Tc: 0.5000 0.5000 0.5000  4 S 2.58
Br: 0.0000 0.0000 0.0000  4 N 1.82
N: 0.0000 0.5000 0.0000  2 Br 1.82
N: 0.5000 0.0000 0.0000  2 Br 1.82
S: 0.0000 0.0000 0.5000  4 Tc 2.58

No. 6
Here is a crystal of Y2CrFe relaxed with PBEsol from the Alexandria database. Energies are from SCAN.

## Properties
Its space group is No. 44. The value obtained for the density of states at the Fermi level is 1.280 states/eV/atom. For the energy above the most stable polymorph in this dataset, the calculation gives 144.5 meV per atom. As for the volume: 79.7 Å³/f.u. For the calculated formation energy, the calculation gives 0.354 eV/atom. Its total DFT energy (no corrections) is -22.70 eV/atom.

Cell: 3.3536 4.6011 5.8986 Å, 112.96 106.52 90.00°
With the nearest neighbours (Å) after each atom.
Fractional positions:
Y: 0.7629 0.2629 0.5258  4 Fe 2.95, 2 Cr 3.07, 2 Y 3.24
Cr: 0.5664 0.5661 0.1328  2 Fe 2.09
Y: 0.9834 0.9833 0.9668  4 Cr 2.97, 2 Fe 3.12, 2 Y 3.24
Fe: 0.1873 0.6877 0.3746  2 Cr 2.09

No. 7
Here is a crystal of Cs3BiCl6 relaxed with PBEsol from the Alexandria database. Energies are from SCAN.

## Properties
Its space group is No. 225. The value obtained for the density of states at the Fermi level is 0.000 states/eV/atom. As for the volume: 405.1 Å³/f.u. As for the uncorrected formation energy: -1.73 eV/atom. Its total DFT energy (no corrections) is -25.71 eV/atom.

Cell: 8.3053 8.3053 8.3053 Å, 60.00 60.00 60.00°
With the nearest neighbours (Å) after each atom.
Fractional positions:
Cs: 0.5000 0.5000 0.5000  6 Cl 3.19
Cl: 0.7712 0.2288 0.7712  1 Bi 2.69
Cl: 0.7712 0.7712 0.2288  1 Bi 2.69
Cl: 0.7712 0.2288 0.2288  1 Bi 2.69
Cl: 0.2288 0.7712 0.7712  1 Bi 2.69
Bi: 0.0000 0.0000 0.0000  6 Cl 2.69
Cl: 0.2288 0.7712 0.2288  1 Bi 2.69
Cs: 0.2500 0.2500 0.2500  12 Cl 4.16
Cs: 0.7500 0.7500 0.7500  12 Cl 4.16
Cl: 0.2288 0.2288 0.7712  1 Bi 2.69

No. 8
Here is a crystal of LiMnAg2Rh relaxed with PBEsol from the Alexandria database. Energies are from SCAN.

## Properties
Its space group is No. 123. The value obtained for the density of states at the Fermi level is 0.526 states/eV/atom. As for the volume: 115.4 Å³/f.u. For the calculated formation energy, the calculation gives 0.552 eV/atom. Its total DFT energy (no corrections) is -22.88 eV/atom.

Cell: 4.5354 5.0434 5.0434 Å, 90.00 90.00 90.00°
With the nearest neighbours (Å) after each atom.
Fractional positions:
Ag: 0.0000 0.0000 0.5000  2 Rh 2.52
Ag: 0.0000 0.5000 0.0000  2 Rh 2.52
Mn: 0.5000 0.0000 0.0000  2 Rh 2.27
Rh: 0.0000 0.0000 0.0000  2 Mn 2.27, 4 Ag 2.52
Li: 0.5000 0.5000 0.5000  8 Ag 3.39, 4 Mn 3.57

No. 9
Here is a crystal of Ba2Tl2Cu2HgO8 relaxed with PBEsol from the Alexandria database. Energies are from SCAN.

## Properties
Its space group is No. 107. The value obtained for the density of states at the Fermi level is 0.159 states/eV/atom. As for the volume: 215.1 Å³/f.u. As for the uncorrected formation energy: -1.27 eV/atom. Its total DFT energy (no corrections) is -26.09 eV/atom.

Cell: 3.8499 3.8499 14.7664 Å, 97.49 97.49 90.00°
With the nearest neighbours (Å) after each atom.
Fractional positions:
O: 0.1389 0.1389 0.2778  1 Hg 2.09, 1 Cu 2.33
Tl: 0.5009 0.5009 0.0019  8 O 2.40-2.44
O: 0.7169 0.7169 0.4337  1 Tl 2.00
Ba: 0.6266 0.6266 0.2532  5 O 2.62-2.75
O: 0.9494 0.4494 0.8988  2 Cu 1.93
Ba: 0.3763 0.3763 0.7526  9 O 2.68-2.86
O: 0.0503 0.5503 0.1006  2 Cu 1.94
O: 0.4494 0.9494 0.8988  2 Cu 1.93
O: 0.2840 0.2840 0.5681  1 Hg 2.12
Hg: 0.2110 0.2110 0.4220  2 O 2.09-2.12
O: 0.8565 0.8565 0.7131  1 Tl 2.05
Tl: 0.7859 0.7859 0.5718  2 O 2.00-2.05
Cu: 0.9449 0.9449 0.8898  4 O 1.93
O: 0.5503 0.0503 0.1006  2 Cu 1.94
Cu: 0.0586 0.0586 0.1171  4 O 1.94

No. 10
Here is a crystal of LiNd2Al relaxed with PBEsol from the Alexandria database. Energies are from SCAN.

## Properties
Its space group is No. 225. The value obtained for the density of states at the Fermi level is 0.832 states/eV/atom. As for the volume: 101.4 Å³/f.u. For the calculated formation energy, the calculation gives -0.212 eV/atom. Its total DFT energy (no corrections) is -24.54 eV/atom.

Cell: 5.2335 5.2335 5.2335 Å, 60.00 60.00 60.00°
With the nearest neighbours (Å) after each atom.
Fractional positions:
Al: 0.5000 0.5000 0.5000  8 Nd 3.20
Nd: 0.2500 0.2500 0.2500  4 Li 3.20, 4 Al 3.20
Nd: 0.7500 0.7500 0.7500  4 Li 3.20, 4 Al 3.20
Li: 0.0000 0.0000 0.0000  8 Nd 3.20

No. 11
Here is a crystal of P2IrPb relaxed with PBEsol from the Alexandria database. Energies are from SCAN.

## Properties
Its space group is No. 47. The value obtained for the density of states at the Fermi level is 0.648 states/eV/atom. As for the volume: 68.7 Å³/f.u. For the calculated formation energy, the calculation gives 0.940 eV/atom. Its total DFT energy (no corrections) is -40.98 eV/atom.

Cell: 3.0219 4.6543 4.8818 Å, 90.00 90.00 90.00°
With the nearest neighbours (Å) after each atom.
Fractional positions:
P: 0.0000 0.0000 0.0000  4 Pb 2.77, 6 P 2.87-3.02
Ir: 0.0000 0.5000 0.5000  4 P 2.77, 4 Pb 2.87, 2 Ir 3.02
Pb: 0.5000 0.5000 0.0000  4 P 2.77, 4 Ir 2.87, 2 Pb 3.02
P: 0.5000 0.0000 0.5000  4 Ir 2.77, 6 P 2.87-3.02

No. 12
Here is a crystal of Sr3Li relaxed with PBEsol from the Alexandria database. Energies are from SCAN.

## Properties
Its space group is No. 194. The value obtained for the density of states at the Fermi level is 0.853 states/eV/atom. For the energy above the most stable polymorph in this dataset, the calculation gives 47.0 meV per atom. As for the volume: 181.0 Å³/f.u. For the calculated formation energy, the calculation gives 0.076 eV/atom. Its total DFT energy (no corrections) is -17.23 eV/atom.

Cell: 8.0101 8.0101 13.0269 Å, 90.00 90.00 120.00°
With the nearest neighbours (Å) after each atom.
Fractional positions:
Sr: 0.3295 0.1648 0.2500  8 Sr 3.96-4.05, 4 Li 3.98-4.01
Sr: 0.0000 0.5000 0.5000  4 Li 3.99-4.01, 8 Sr 4.00-4.01
Sr: 0.5000 0.5000 0.5000  4 Li 3.99-4.01, 8 Sr 4.00-4.01
Li: 0.0000 0.0000 0.0000  12 Sr 3.98-4.01
Sr: 0.6705 0.8352 0.7500  8 Sr 3.96-4.05, 4 Li 3.98-4.01
Sr: 0.8352 0.6705 0.2500  8 Sr 3.96-4.05, 4 Li 3.98-4.01
Sr: 0.5000 0.5000 0.0000  4 Li 3.99-4.01, 8 Sr 4.00-4.01
Sr: 0.5000 0.0000 0.0000  4 Li 3.99-4.01, 8 Sr 4.00-4.01
Sr: 0.1648 0.3295 0.7500  8 Sr 3.96-4.05, 4 Li 3.98-4.01
Li: 0.6667 0.3333 0.7500  12 Sr 3.99-4.01
Sr: 0.0000 0.5000 0.0000  4 Li 3.99-4.01, 8 Sr 4.00-4.01
Sr: 0.8352 0.1648 0.2500  8 Sr 3.96-4.05, 4 Li 3.98-4.01
Li: 0.0000 0.0000 0.5000  12 Sr 3.98-4.01
Li: 0.3333 0.6667 0.2500  12 Sr 3.99-4.01
Sr: 0.1648 0.8352 0.7500  8 Sr 3.96-4.05, 4 Li 3.98-4.01
Sr: 0.5000 0.0000 0.5000  4 Li 3.99-4.01, 8 Sr 4.00-4.01